PBE Co2RhSe6, optimized geometry; M_tot = 0.00 μB per cell; SG = No. 15; final energy = -4.907 eV/atom; raw formation energy = -0.19 eV per atom; ΔE to the lowest computed polymorph = 0.54 eV per formula unit
1.0
6.3081 0.0317 0.0307
1.8818 7.5500 -0.8491
1.8818 -0.6040 7.5736
Co Rh Se
4 2 12
Cartesian
4.1445 3.6319 5.0157
2.7731 1.8311 3.2723
5.9272 3.3457 1.7395
7.2986 5.1466 3.4828
3.4588 0.1353 6.8258
6.6129 6.8424 -0.0706
5.0411 4.9768 3.2814
1.8765 3.5209 1.8719
5.0305 2.0009 3.4737
8.1952 3.4568 4.8832
7.7714 6.8716 2.0384
5.4543 4.7335 -0.0314
2.3002 0.1061 4.7167
4.6174 2.2441 6.7866
4.3717 5.3903 6.5252
2.5459 0.2654 1.5638
5.6999 1.5874 0.2300
7.5258 6.7122 5.1913